Density functional theory data (PBE) for a relaxed structure of LiMg4Zr.

Summary:
Energy above the lowest structure with this stoichiometry, meV/atom: 0
Energy relative to the elements, meV per atom: -11

Unit cell a=3.183 b=3.183 c=12.886 alpha=90.00 beta=90.00 gamma=90.00
Fractional positions:
Li (0.500, 0.500, 0.500)
Mg (0.500, 0.500, 0.172)
Mg (0.000, 0.000, 0.655)
Mg (0.000, 0.000, 0.345)
Mg (0.500, 0.500, 0.828)
Zr (0.000, 0.000, 0.000)


Density functional theory data (PBE) for a relaxed structure of Er5Te5C2.

Summary:
Formation energy (no corrections), eV per atom: -0.7430

Unit cell a=3.984 b=7.367 c=10.824 alpha=99.13 beta=90.00 gamma=105.69
Fractional positions:
Er (0.093, 0.185, 0.329)
Er (0.633, 0.267, 0.793)
Er (0.367, 0.733, 0.207)
Er (0.907, 0.815, 0.671)
Er (0.000, 0.000, 0.000)
Te (0.500, 0.000, 0.500)
Te (0.661, 0.323, 0.091)
Te (0.767, 0.534, 0.386)
Te (0.233, 0.466, 0.614)
Te (0.339, 0.677, 0.909)
C (0.049, 0.097, 0.806)
C (0.951, 0.903, 0.194)


Density functional theory data (PBE) for a relaxed structure of PmInNiHg.

Summary:
Energy relative to the elements, meV per atom: -261

Unit cell a=4.957 b=4.957 c=4.957 alpha=60.00 beta=60.00 gamma=60.00
Fractional positions:
Ni (0.750, 0.750, 0.750)
In (0.000, 0.000, 0.000)
Hg (0.250, 0.250, 0.250)
Pm (0.500, 0.500, 0.500)


Density functional theory data (PBE) for a relaxed structure of NaMn2Ir.

Summary:
Energy above the lowest structure with this stoichiometry, meV/atom: 74
Energy relative to the elements, meV per atom: 815

Unit cell a=4.220 b=4.220 c=4.220 alpha=60.00 beta=60.00 gamma=60.00
Fractional positions:
Na (0.000, 0.000, 0.000)
Ir (0.500, 0.500, 0.500)
Mn (0.250, 0.250, 0.250)
Mn (0.750, 0.750, 0.750)


Density functional theory data (PBE) for a relaxed structure of B5C.

Summary:
Energy above the lowest structure with this stoichiometry, meV/atom: 384
Energy relative to the elements, meV per atom: 581

Unit cell a=2.638 b=2.638 c=16.417 alpha=90.00 beta=90.00 gamma=120.00
Fractional positions:
B (0.667, 0.333, 0.822)
B (0.000, 0.000, 0.885)
B (0.333, 0.667, 0.654)
B (0.667, 0.333, 0.720)
B (0.667, 0.333, 0.321)
B (0.000, 0.000, 0.385)
B (0.000, 0.000, 0.487)
B (0.333, 0.667, 0.552)
B (0.333, 0.667, 0.217)
B (0.000, 0.000, 0.991)
C (0.667, 0.333, 0.225)
C (0.333, 0.667, 0.993)


Density functional theory data (PBE) for a relaxed structure of YAgHg2.

Summary:
Energy relative to the elements, meV per atom: -260

Unit cell a=4.567 b=4.567 c=4.494 alpha=90.00 beta=90.00 gamma=90.01
Fractional positions:
Y (0.500, 0.000, 0.500)
Hg (0.000, 0.000, 0.000)
Hg (0.500, 0.500, 0.000)
Ag (0.000, 0.500, 0.500)


Density functional theory data (PBE) for a relaxed structure of AlInSbTe2.

Summary:
Energy above the lowest structure with this stoichiometry, meV/atom: 444
Formation energy (no corrections), eV per atom: 0.6189

Unit cell a=5.749 b=5.749 c=5.581 alpha=90.00 beta=90.00 gamma=90.00
Site moments in Bohr magnetons follow the coordinates.
Fractional positions:
Sb (0.000, 0.000, 0.500)  0.15
Te (0.000, 0.500, 0.000)  0.03
Te (0.500, 0.000, 0.000)  0.03
Al (0.500, 0.500, 0.500)  0.00
In (0.000, 0.000, 0.000)  0.00


Density functional theory data (PBE) for a relaxed structure of Pm2FeRu3.

Summary:
Energy relative to the elements, meV per atom: -137

Unit cell a=5.418 b=5.418 c=8.621 alpha=90.00 beta=90.00 gamma=120.00
Site moments in Bohr magnetons follow the coordinates.
Fractional positions:
Pm (0.667, 0.333, 0.433)  -0.06
Pm (0.333, 0.667, 0.567)  -0.06
Pm (0.333, 0.667, 0.933)  -0.06
Pm (0.667, 0.333, 0.067)  -0.06
Fe (0.000, 0.000, 0.500)  2.45
Fe (0.000, 0.000, 0.000)  2.45
Ru (0.169, 0.338, 0.250)  -0.19
Ru (0.338, 0.169, 0.750)  -0.19
Ru (0.831, 0.662, 0.750)  -0.19
Ru (0.169, 0.831, 0.250)  -0.19
Ru (0.831, 0.169, 0.750)  -0.19
Ru (0.662, 0.831, 0.250)  -0.19


Density functional theory data (PBE) for a relaxed structure of BePb2Br.

Summary:
Energy above the lowest structure with this stoichiometry, meV/atom: 89
Formation energy (no corrections), eV per atom: 0.2011

Unit cell a=4.680 b=3.705 c=7.276 alpha=89.80 beta=90.00 gamma=90.00
Fractional positions:
Pb (0.000, 0.878, 0.035)
Pb (0.500, 0.373, 0.392)
Be (0.000, 0.376, 0.300)
Br (0.500, 0.874, 0.773)


Density functional theory data (PBE) for a relaxed structure of YZrTc3.

Summary:
Energy relative to the elements, meV per atom: 1830

Unit cell a=4.739 b=4.739 c=4.739 alpha=90.00 beta=90.00 gamma=90.00
Fractional positions:
Y (0.000, 0.000, 0.000)
Tc (0.000, 0.500, 0.000)
Tc (0.000, 0.000, 0.500)
Tc (0.500, 0.000, 0.000)
Zr (0.500, 0.500, 0.500)


Density functional theory data (PBE) for a relaxed structure of TbPm3Al.

Summary:
Energy above the lowest structure with this stoichiometry, meV/atom: 0
Energy relative to the elements, meV per atom: -122

Unit cell a=3.670 b=6.862 c=12.592 alpha=84.69 beta=90.00 gamma=74.49
Fractional positions:
Tb (0.218, 0.565, 0.746)
Tb (0.782, 0.435, 0.254)
Pm (0.143, 0.714, 0.446)
Pm (0.363, 0.273, 0.020)
Pm (0.036, 0.929, 0.196)
Pm (0.857, 0.286, 0.554)
Pm (0.964, 0.071, 0.804)
Pm (0.637, 0.727, 0.980)
Al (0.551, 0.898, 0.618)
Al (0.449, 0.102, 0.382)


Density functional theory data (PBE) for a relaxed structure of ZrZn2Co9.

Summary:
Energy relative to the elements, meV per atom: -20

Unit cell a=4.762 b=4.762 c=8.207 alpha=73.13 beta=73.13 gamma=60.00
Site moments in Bohr magnetons follow the coordinates.
Fractional positions:
Zr (0.000, 0.000, 0.000)  -0.39
Zn (0.858, 0.858, 0.427)  -0.05
Zn (0.142, 0.142, 0.573)  -0.05
Co (0.664, 0.664, 0.007)  1.38
Co (0.336, 0.336, 0.993)  1.38
Co (0.500, 0.500, 0.500)  1.48
Co (0.411, 0.411, 0.256)  1.49
Co (0.922, 0.411, 0.256)  1.49
Co (0.411, 0.922, 0.256)  1.49
Co (0.589, 0.589, 0.744)  1.49
Co (0.589, 0.078, 0.744)  1.49
Co (0.078, 0.589, 0.744)  1.49


Density functional theory data (PBE) for a relaxed structure of CrCl2.

Summary:
Energy above the lowest structure with this stoichiometry, meV/atom: 9
Formation energy (no corrections), eV per atom: -0.9277

Unit cell a=7.957 b=7.957 c=6.319 alpha=90.00 beta=90.00 gamma=155.00
Site moments in Bohr magnetons follow the coordinates.
Fractional positions:
Cl (0.100, 0.900, 0.000)  -0.01
Cl (0.310, 0.690, 0.000)  -0.03
Cl (0.468, 0.532, 0.500)  -0.03
Cl (0.678, 0.322, 0.500)  -0.01
Cr (0.708, 0.292, 0.000)  3.64
Cr (0.070, 0.930, 0.500)  3.64


Density functional theory data (PBE) for a relaxed structure of CrSnB2Rh.

Summary:
Energy relative to the elements, meV per atom: 851

Unit cell a=4.000 b=5.267 c=4.000 alpha=90.00 beta=90.00 gamma=90.00
Site moments in Bohr magnetons follow the coordinates.
Fractional positions:
Cr (0.000, 0.500, 0.000)  3.29
B (0.000, 0.000, 0.500)  -0.03
B (0.500, 0.000, 0.000)  0.00
Rh (0.000, 0.000, 0.000)  0.00
Sn (0.500, 0.500, 0.500)  -0.09


Density functional theory data (PBE) for a relaxed structure of In2TeP.

Summary:
Energy above the lowest structure with this stoichiometry, meV/atom: 193
Formation energy (no corrections), eV per atom: 0.0400

Unit cell a=7.577 b=7.577 c=7.577 alpha=151.33 beta=150.03 gamma=41.95
Fractional positions:
In (0.977, 0.977, 0.000)
In (0.687, 0.187, 0.500)
P (0.540, 0.540, 0.000)
Te (0.296, 0.796, 0.500)


Density functional theory data (PBE) for a relaxed structure of Nb3InH.

Summary:
Total DFT energy (no corrections), eV/atom: -7.32

Unit cell a=5.890 b=5.656 c=5.659 alpha=62.75 beta=99.55 gamma=79.89
Fractional positions:
H (0.504, 0.092, 0.321)
H (0.705, 0.340, 0.695)
Nb (0.016, 0.223, 0.958)
Nb (0.256, 0.202, 0.466)
Nb (0.775, 0.188, 0.465)
Nb (0.011, 0.709, 0.431)
Nb (0.500, 0.713, 0.431)
Nb (0.505, 0.223, 0.944)
In (0.203, 0.712, 0.945)
In (0.704, 0.706, 0.953)


Density functional theory data (PBE) for a relaxed structure of ReSbF3.

Summary:
Energy above the lowest structure with this stoichiometry, meV/atom: 0
Formation energy (no corrections), eV per atom: -0.4080

Unit cell a=4.241 b=4.241 c=4.241 alpha=90.00 beta=90.00 gamma=90.00
Fractional positions:
Re (0.000, 0.000, 0.000)
F (0.000, 0.500, 0.000)
F (0.000, 0.000, 0.500)
F (0.500, 0.000, 0.000)
Sb (0.500, 0.500, 0.500)


Density functional theory data (PBE) for a relaxed structure of RbGe2SbS6.

Summary:
Formation energy (no corrections), eV per atom: -0.3457

Unit cell a=6.644 b=9.349 c=9.349 alpha=92.68 beta=82.35 gamma=82.35
Fractional positions:
Rb (0.250, 0.898, 0.102)
Rb (0.750, 0.102, 0.898)
Ge (0.271, 0.795, 0.625)
Ge (0.229, 0.375, 0.205)
Ge (0.729, 0.205, 0.375)
Ge (0.771, 0.625, 0.795)
Sb (0.250, 0.268, 0.732)
Sb (0.750, 0.732, 0.268)
S (0.223, 0.998, 0.779)
S (0.277, 0.221, 0.002)
S (0.777, 0.002, 0.221)
S (0.723, 0.779, 0.998)
S (0.376, 0.856, 0.410)
S (0.124, 0.590, 0.144)
S (0.624, 0.144, 0.590)
S (0.876, 0.410, 0.856)
S (0.948, 0.726, 0.608)
S (0.552, 0.392, 0.274)
S (0.052, 0.274, 0.392)
S (0.448, 0.608, 0.726)


Density functional theory data (PBE) for a relaxed structure of EuP2Ru2.

Summary:
Energy relative to the elements, meV per atom: -960

Unit cell a=4.053 b=4.053 c=6.044 alpha=109.60 beta=109.60 gamma=90.02
Site moments in Bohr magnetons follow the coordinates.
Fractional positions:
Eu (0.000, 0.000, 0.000)  6.75
Ru (0.250, 0.750, 0.500)  -0.03
Ru (0.750, 0.250, 0.500)  -0.03
P (0.359, 0.359, 0.717)  -0.02
P (0.641, 0.641, 0.283)  -0.02


Density functional theory data (PBE) for a relaxed structure of RbIn6Pb8.

Summary:
Energy relative to the elements, meV per atom: 7

Unit cell a=10.151 b=10.151 c=5.705 alpha=90.00 beta=90.00 gamma=120.00
Fractional positions:
Rb (0.000, 0.000, 0.500)
In (0.674, 0.528, 0.423)
In (0.855, 0.326, 0.423)
In (0.472, 0.145, 0.423)
In (0.326, 0.472, 0.577)
In (0.145, 0.674, 0.577)
In (0.528, 0.855, 0.577)
Pb (0.981, 0.651, 0.085)
Pb (0.670, 0.019, 0.085)
Pb (0.349, 0.330, 0.085)
Pb (0.019, 0.349, 0.915)
Pb (0.330, 0.981, 0.915)
Pb (0.651, 0.670, 0.915)
Pb (0.333, 0.667, 0.098)
Pb (0.667, 0.333, 0.902)


Density functional theory data (PBE) for a relaxed structure of Dy4YEr7.

Summary:
Energy above the lowest structure with this stoichiometry, meV/atom: 205
Energy relative to the elements, meV per atom: 294

Unit cell a=5.813 b=11.462 c=6.672 alpha=83.52 beta=64.18 gamma=75.31
Site moments in Bohr magnetons follow the coordinates.
Fractional positions:
Dy (0.635, 0.225, 0.505)  0.01
Dy (0.365, 0.775, 0.495)  0.01
Dy (0.753, 0.682, 0.811)  0.01
Dy (0.247, 0.318, 0.189)  0.01
Y (0.000, 0.000, 0.000)  0.13
Er (0.787, 0.924, 0.502)  0.02
Er (0.213, 0.076, 0.498)  0.02
Er (0.060, 0.676, 0.204)  0.01
Er (0.940, 0.324, 0.796)  0.01
Er (0.365, 0.501, 0.768)  0.01
Er (0.500, 0.000, 0.000)  0.16
Er (0.635, 0.499, 0.232)  0.01


Density functional theory data (PBE) for a relaxed structure of PmPrHoCu.

Summary:
Energy relative to the elements, meV per atom: -87

Unit cell a=3.571 b=3.571 c=8.783 alpha=90.00 beta=90.00 gamma=90.00
Fractional positions:
Pm (0.500, 0.500, 0.766)
Pr (0.000, 0.000, 0.079)
Ho (0.500, 0.500, 0.382)
Cu (0.000, 0.000, 0.558)


Density functional theory data (PBE) for a relaxed structure of Ba2NaMg12Hg3.

Summary:
Energy relative to the elements, meV per atom: 166

Unit cell a=8.998 b=8.998 c=8.998 alpha=68.02 beta=68.02 gamma=68.02
Fractional positions:
Ba (0.594, 0.594, 0.594)
Ba (0.406, 0.406, 0.406)
Na (0.000, 0.000, 0.000)
Mg (0.270, 0.270, 0.852)
Mg (0.861, 0.861, 0.376)
Mg (0.376, 0.861, 0.861)
Mg (0.852, 0.270, 0.270)
Mg (0.861, 0.376, 0.861)
Mg (0.270, 0.852, 0.270)
Mg (0.730, 0.730, 0.148)
Mg (0.139, 0.139, 0.624)
Mg (0.624, 0.139, 0.139)
Mg (0.148, 0.730, 0.730)
Mg (0.139, 0.624, 0.139)
Mg (0.730, 0.148, 0.730)
Hg (0.500, 0.000, 0.000)
Hg (0.000, 0.500, 0.000)
Hg (0.000, 0.000, 0.500)


Density functional theory data (PBE) for a relaxed structure of Mn2GaN.

Summary:
Formation energy (no corrections), eV per atom: -0.1827

Unit cell a=2.918 b=2.918 c=6.210 alpha=76.41 beta=76.41 gamma=60.00
Fractional positions:
Mn (0.782, 0.782, 0.653)
Mn (0.218, 0.218, 0.347)
Ga (0.000, 0.000, 0.000)
N (0.500, 0.500, 0.500)